Mg2In2Au3 after structural relaxation. Source: Alexandria via LeMat-Bulk, functional PBE-GGA.

abc: 3.2363 3.2363 16.7378
angles: 90.00 90.00 120.00
Space group P-3m1 (No. 164)
Asymmetric unit:
Mg 0.3333 0.6667 0.1267
In 0.3333 0.6667 0.5838
Au 0.0000 0.0000 0.0000
Au 0.3333 0.6667 0.7526

Calculated values
Total magnetic moment = 0.00 μB/f.u.
Density = 9.5 g/cm3
E_tot = -19.89 eV per cell
Energy relative to the elements = -0.198 eV/atom
DOS at the Fermi energy = 2.7 states/eV/f.u.

---

KNaSi2 after structural relaxation. Source: Alexandria via LeMat-Bulk, functional PBE-GGA.

abc: 7.348 7.348 7.348
angles: 90.00 90.00 90.00
Space group Fm-3m (No. 225)
Asymmetric unit:
K 0.000 0.000 0.000
Na 0.000 0.000 0.500
Si 0.250 0.250 0.250

Calculated values
Total magnetic moment = 0.00 μB/f.u.
Density = 2.0 g/cm3
Energy relative to the elements, uncorrected = 657 meV/atom
E_tot = -42.54 eV per cell
DOS at the Fermi energy = 0.1 states/eV/f.u.

---

Nb3IO after structural relaxation. Source: Alexandria via LeMat-Bulk, functional PBE-GGA.

abc: 4.385 4.385 4.385
angles: 90.00 90.00 90.00
Space group Pm-3m (No. 221)
Asymmetric unit:
Nb 0.000 0.000 0.500
I 0.500 0.500 0.500
O 0.000 0.000 0.000

Calculated values
Total magnetic moment = 0.00 μB/f.u.
Density = 8.3 g/cm3
Energy relative to the elements, uncorrected = -129 meV/atom
E_tot = -37.36 eV per cell
DOS at the Fermi energy = 3.8 states/eV/f.u.

---

Rb2Sr2B after structural relaxation. Source: Alexandria via LeMat-Bulk, functional PBE-GGA.

abc: 5.133 5.133 23.325
angles: 90.00 90.00 90.00
Space group I4/mmm (No. 139)
Asymmetric unit:
Rb 0.000 0.000 0.080
Sr 0.000 0.500 0.250
B 0.000 0.000 0.500

Calculated values
Total magnetic moment = 1.36 μB/f.u.
Density = 1.9 g/cm3
E_tot = -12.34 eV per cell
Energy relative to the elements = 1.161 eV/atom
DOS at the Fermi energy = 4.3 states/eV/f.u.

---

NbCrTcMo after structural relaxation. Source: Alexandria via LeMat-Bulk, functional PBE-GGA.

abc: 6.226 6.226 6.226
angles: 90.00 90.00 90.00
Space group F-43m (No. 216)
Asymmetric unit:
Nb 0.000 0.000 0.000
Cr 0.250 0.250 0.250
Tc 0.250 0.250 0.750
Mo 0.000 0.000 0.500

Calculated values
Total magnetic moment = 0.00 μB/f.u.
Density = 9.3 g/cm3
E_tot = -164.64 eV per cell
Energy relative to the elements = -0.068 eV/atom
DOS at the Fermi energy = 1.6 states/eV/f.u.

---

CsReSi3 after structural relaxation. Source: Alexandria via LeMat-Bulk, functional PBE-GGA.

abc: 4.828 4.828 4.828
angles: 90.00 90.00 90.00
Space group Pm-3m (No. 221)
Asymmetric unit:
Cs 0.000 0.000 0.000
Re 0.500 0.500 0.500
Si 0.000 0.500 0.500

Calculated values
Total magnetic moment = 0.00 μB/f.u.
Density = 6.0 g/cm3
Energy relative to the elements, uncorrected = 343 meV/atom
E_tot = -27.86 eV per cell
DOS at the Fermi energy = 4.2 states/eV/f.u.

---

SrTaRu2 after structural relaxation. Source: Alexandria via LeMat-Bulk, functional PBE-GGA.

abc: 7.362 7.362 6.349
angles: 90.00 90.00 90.00
Space group I-42d (No. 122)
Asymmetric unit:
Sr 0.000 0.000 0.000
Ta 0.000 0.000 0.500
Ru 0.197 0.250 0.625

Calculated values
Total magnetic moment = 0.00 μB/f.u.
Density = 9.1 g/cm3
E_tot = -118.82 eV per cell
Energy relative to the elements = 0.595 eV/atom
DOS at the Fermi energy = 4.1 states/eV/f.u.

---

K3Ag2RhCl9 after structural relaxation. Source: Alexandria via LeMat-Bulk, functional PBE-GGA.

abc: 7.2003 7.2003 8.7857
angles: 90.00 90.00 120.00
Space group P-3m1 (No. 164)
Asymmetric unit:
K 0.0000 0.0000 0.0000
K 0.3333 0.6667 0.6834
Ag 0.3333 0.6667 0.1709
Rh 0.0000 0.0000 0.5000
Cl 0.0000 0.5000 0.0000
Cl 0.1564 0.3127 0.3439

Calculated values
Total magnetic moment = 0.40 μB/f.u.
Density = 3.2 g/cm3
Energy relative to the elements, uncorrected = -1066 meV/atom
E_tot = -48.95 eV per cell
DOS at the Fermi energy = 15.2 states/eV/f.u.